Entry 1:
VASP calculation (PBE) on SmGd2AuO6 after structural relaxation.

```
10
Lattice="3.673 0.000 0.000 -0.122 5.605 0.000 -1.624 -0.119 6.814" Properties=species:S:1:pos:R:3 pbc="T T T"
Sm 0.000 0.000 0.000
Gd 0.173 2.555 5.007
Gd 1.754 2.931 1.807
Au -0.812 -0.059 3.407
O -0.078 4.380 2.006
O -0.075 1.671 2.619
O 0.091 4.042 6.664
O 1.836 1.444 0.150
O 2.002 3.815 4.195
O 2.005 1.106 4.808
```

Properties
final energy: -73.92 eV per cell
crystal system: triclinic
space-group type: P-1

=====

Entry 2:
VASP calculation (PBE) on GdTeAuO after structural relaxation.

```
8
Lattice="4.053 0.000 0.000 0.000 4.053 0.000 0.000 0.000 10.056" Properties=species:S:1:pos:R:3 pbc="T T T"
Gd 0.000 0.000 0.000
Gd 2.026 2.026 2.189
Te 0.000 0.000 3.990
Te 2.026 2.026 8.262
Au 0.000 2.026 6.128
Au 2.026 0.000 6.128
O 0.000 2.026 1.094
O 2.026 0.000 1.094
```

Properties
relative energy among the computed polymorphs: 40 meV per atom
crystal system: tetragonal
space-group type: P4mm

=====

Entry 3:
VASP calculation (PBE) on GdTeAuO after structural relaxation.

```
16
Lattice="5.745 0.000 0.000 0.000 10.322 0.000 0.000 0.000 5.763" Properties=species:S:1:pos:R:3 pbc="T T T"
Gd 0.000 1.089 1.441
Gd 0.000 9.233 4.322
Gd 2.872 1.089 4.322
Gd 2.872 9.233 1.441
Te 0.000 2.876 4.322
Te 0.000 7.446 1.441
Te 2.872 2.876 1.441
Te 2.872 7.446 4.322
Au 1.436 5.161 1.411
Au 1.436 5.161 4.292
Au 4.308 5.161 1.471
Au 4.308 5.161 4.352
O 1.436 0.000 0.000
O 1.436 0.000 2.882
O 4.308 0.000 0.000
O 4.308 0.000 2.882
```

Properties
relative energy among the computed polymorphs: 0 meV per atom
crystal system: orthorhombic
space-group type: Pcca

=====

What did the first record say?
VASP calculation (PBE) on SmGd2AuO6 after structural relaxation.

```
10
Lattice="3.673 0.000 0.000 -0.122 5.605 0.000 -1.624 -0.119 6.814" Properties=species:S:1:pos:R:3 pbc="T T T"
Sm 0.000 0.000 0.000
Gd 0.173 2.555 5.007
Gd 1.754 2.931 1.807
Au -0.812 -0.059 3.407
O -0.078 4.380 2.006
O -0.075 1.671 2.619
O 0.091 4.042 6.664
O 1.836 1.444 0.150
O 2.002 3.815 4.195
O 2.005 1.106 4.808
```

Properties
final energy: -73.92 eV per cell
crystal system: triclinic
space-group type: P-1

=====

What did the second record say?
VASP calculation (PBE) on GdTeAuO after structural relaxation.

```
8
Lattice="4.053 0.000 0.000 0.000 4.053 0.000 0.000 0.000 10.056" Properties=species:S:1:pos:R:3 pbc="T T T"
Gd 0.000 0.000 0.000
Gd 2.026 2.026 2.189
Te 0.000 0.000 3.990
Te 2.026 2.026 8.262
Au 0.000 2.026 6.128
Au 2.026 0.000 6.128
O 0.000 2.026 1.094
O 2.026 0.000 1.094
```

Properties
relative energy among the computed polymorphs: 40 meV per atom
crystal system: tetragonal
space-group type: P4mm